VASP calculation (GGA-PBE) on a relaxed Ca2TaRu crystal.

Cell and atoms, written as POSCAR:
```
Ca2TaRu
1.0
-3.324 -2.688 -4.083
-4.060 -4.086 1.331
1.742 5.408 1.633
Ca Ta Ru
2 1 1
Direct
0.000 0.000 0.000
0.500 0.500 0.000
0.750 0.250 0.500
0.250 0.750 0.500
```

## Properties
* formation energy: 543 meV/atom
* electronic total energy: -5.7401 eV per atom
* E above lowest polymorph: 1.850 eV/f.u.
* density of states at the Fermi level: 2.681 states/eV/f.u.
* SG: I4/mmm, No. 139

=====

VASP calculation (GGA-PBE) on a relaxed Ca2TaRu crystal.

Cell and atoms, written as POSCAR:
```
Ca2TaRu
1.0
-1.816 -4.492 -3.671
2.770 -0.298 -5.403
0.628 -0.235 6.042
Ru Ta Ca
1 1 2
Direct
0.469 0.469 0.000
0.308 0.808 0.500
0.714 0.214 0.500
0.008 0.008 0.000
```

## Properties
* formation energy: 223 meV/atom
* electronic total energy: -6.0595 eV per atom
* E above lowest polymorph: 0.573 eV/f.u.
* density of states at the Fermi level: 3.300 states/eV/f.u.
* SG: Imm2, No. 44

=====

VASP calculation (GGA-PBE) on a relaxed Ca2TaRu crystal.

Cell and atoms, written as POSCAR:
```
Ca2TaRu
1.0
-1.514 -1.276 -2.697
2.911 -1.298 -1.019
-1.797 -7.670 4.637
Ca Ru Ta
2 1 1
Direct
0.500 0.500 0.321
0.000 0.000 0.945
0.000 0.000 0.557
0.500 0.500 0.678
```

## Properties
* formation energy: 80 meV/atom
* electronic total energy: -6.2027 eV per atom
* E above lowest polymorph: 0.000 eV/f.u.
* density of states at the Fermi level: 5.404 states/eV/f.u.
* SG: P4mm, No. 99

=====

VASP calculation (GGA-PBE) on a relaxed CaTaRu crystal.

Cell and atoms, written as POSCAR:
```
CaTaRu
1.0
3.314 0.000 0.000
-1.657 2.870 0.000
0.000 0.000 6.951
Ru Ca Ta
1 1 1
Direct
0.667 0.333 0.372
0.000 0.000 0.026
0.333 0.667 0.602
```

## Properties
* formation energy: 333 meV/atom
* electronic total energy: -7.3771 eV per atom
* E above lowest polymorph: 1.402 eV/f.u.
* density of states at the Fermi level: 2.459 states/eV/f.u.
* SG: P3m1, No. 156

=====

VASP calculation (GGA-PBE) on a relaxed CaTaRu crystal.

Cell and atoms, written as POSCAR:
```
CaTaRu
1.0
-0.169 2.015 2.520
-1.605 -3.921 3.028
7.401 -2.609 0.546
Ca Ta Ru
2 2 2
Direct
0.928 0.132 0.366
0.072 0.632 0.634
0.250 0.968 0.002
0.750 0.468 0.998
0.635 0.135 0.767
0.365 0.635 0.233
```

## Properties
* formation energy: 102 meV/atom
* electronic total energy: -7.6082 eV per atom
* E above lowest polymorph: 0.708 eV/f.u.
* density of states at the Fermi level: 2.258 states/eV/f.u.
* SG: P2_1, No. 4

=====

VASP calculation (GGA-PBE) on a relaxed Ca2TaRu crystal.

Cell and atoms, written as POSCAR:
```
Ca2TaRu
1.0
-4.896 0.187 1.163
-3.235 2.314 -3.088
-3.322 -2.702 -2.650
Ru Ca Ta
1 2 1
Direct
0.000 0.000 0.000
0.750 0.750 0.750
0.250 0.250 0.250
0.500 0.500 0.500
```

## Properties
* formation energy: 1008 meV/atom
* electronic total energy: -5.2749 eV per atom
* E above lowest polymorph: 3.711 eV/f.u.
* density of states at the Fermi level: 5.297 states/eV/f.u.
* SG: Fm-3m, No. 225

=====

VASP calculation (GGA-PBE) on a relaxed CaTa2Ru crystal.

Cell and atoms, written as POSCAR:
```
CaTa2Ru
1.0
2.999 0.000 0.000
0.000 2.978 0.000
0.000 0.000 9.117
Ta Ca Ru
2 1 1
Direct
0.000 0.000 0.560
0.000 0.000 0.940
0.500 0.500 0.250
0.500 0.500 0.750
```

## Properties
* formation energy: 296 meV/atom
* electronic total energy: -8.4495 eV per atom
* E above lowest polymorph: 0.680 eV/f.u.
* density of states at the Fermi level: 5.090 states/eV/f.u.
* SG: Pmmm, No. 47

=====

VASP calculation (GGA-PBE) on a relaxed Ca2TaRu crystal.

Cell and atoms, written as POSCAR:
```
Ca2TaRu
1.0
-1.472 1.410 4.531
-1.709 -2.573 0.245
2.984 -4.584 2.396
Ca Ta Ru
2 1 1
Direct
0.000 0.442 0.489
0.000 0.058 0.011
0.500 0.750 0.750
0.500 0.250 0.250
```

## Properties
* formation energy: 631 meV/atom
* electronic total energy: -5.6515 eV per atom
* E above lowest polymorph: 2.205 eV/f.u.
* density of states at the Fermi level: 4.960 states/eV/f.u.
* SG: P2/m, No. 10

=====

VASP calculation (GGA-PBE) on a relaxed CaTa2Ru crystal.

Cell and atoms, written as POSCAR:
```
CaTa2Ru
1.0
4.721 0.000 0.000
2.361 4.089 0.000
2.361 1.363 3.855
Ru Ta Ca
1 2 1
Direct
0.750 0.750 0.750
0.250 0.250 0.250
0.000 0.000 0.000
0.500 0.500 0.500
```

## Properties
* formation energy: 512 meV/atom
* electronic total energy: -8.2336 eV per atom
* E above lowest polymorph: 1.544 eV/f.u.
* density of states at the Fermi level: 5.066 states/eV/f.u.
* SG: F-43m, No. 216

=====

VASP calculation (GGA-PBE) on a relaxed CaTa2Ru crystal.

Cell and atoms, written as POSCAR:
```
CaTa2Ru
1.0
4.791 0.000 0.000
0.000 4.791 0.000
0.000 0.000 3.172
Ta Ca Ru
2 1 1
Direct
0.000 0.000 0.000
0.500 0.500 0.000
0.500 0.000 0.500
0.000 0.500 0.500
```

## Properties
* formation energy: 635 meV/atom
* electronic total energy: -8.1109 eV per atom
* E above lowest polymorph: 2.034 eV/f.u.
* density of states at the Fermi level: 4.048 states/eV/f.u.
* SG: P4/mmm, No. 123

=====

VASP calculation (GGA-PBE) on a relaxed CaTa2Ru crystal.

Cell and atoms, written as POSCAR:
```
CaTa2Ru
1.0
-4.353 8.412 -3.078
-6.685 7.223 -1.526
-4.564 8.852 -0.073
Ta Ca Ru
2 1 1
Direct
0.013 0.013 0.013
0.487 0.487 0.487
0.250 0.250 0.250
0.750 0.750 0.750
```

## Properties
* formation energy: 430 meV/atom
* electronic total energy: -8.3154 eV per atom
* E above lowest polymorph: 1.216 eV/f.u.
* density of states at the Fermi level: 4.432 states/eV/f.u.
* SG: R-3m, No. 166

=====

VASP calculation (GGA-PBE) on a relaxed Ca2TaRu crystal.

Cell and atoms, written as POSCAR:
```
Ca2TaRu
1.0
-1.256 -4.301 -3.595
1.458 -0.896 5.484
-2.911 0.194 0.797
Ru Ca Ta
1 2 1
Direct
0.500 0.000 0.500
0.500 0.500 0.000
0.000 0.000 0.000
0.000 0.500 0.500
```

## Properties
* formation energy: 641 meV/atom
* electronic total energy: -5.6415 eV per atom
* E above lowest polymorph: 2.245 eV/f.u.
* density of states at the Fermi level: 4.239 states/eV/f.u.
* SG: C2/m, No. 12

=====

VASP calculation (GGA-PBE) on a relaxed Ca2TaRu crystal.

Cell and atoms, written as POSCAR:
```
Ca2TaRu
1.0
3.683 0.000 0.000
0.000 4.322 0.000
0.000 0.000 5.199
Ta Ca Ru
1 2 1
Direct
0.000 0.500 0.500
0.000 0.000 0.000
0.500 0.500 0.000
0.500 0.000 0.500
```

## Properties
* formation energy: 535 meV/atom
* electronic total energy: -5.7478 eV per atom
* E above lowest polymorph: 1.819 eV/f.u.
* density of states at the Fermi level: 2.042 states/eV/f.u.
* SG: Pmmm, No. 47

=====

VASP calculation (GGA-PBE) on a relaxed CaTaRu crystal.

Cell and atoms, written as POSCAR:
```
CaTaRu
1.0
-0.352 -1.782 -2.534
-0.224 -3.453 2.459
-10.100 1.487 1.167
Ta Ru Ca
2 2 2
Direct
0.326 0.750 0.070
0.674 0.250 0.930
0.969 0.750 0.834
0.031 0.250 0.166
0.700 0.750 0.356
0.300 0.250 0.644
```

## Properties
* formation energy: 3 meV/atom
* electronic total energy: -7.7069 eV per atom
* E above lowest polymorph: 0.412 eV/f.u.
* density of states at the Fermi level: 2.537 states/eV/f.u.
* SG: P2_1/m, No. 11

=====

VASP calculation (GGA-PBE) on a relaxed CaTa2Ru crystal.

Cell and atoms, written as POSCAR:
```
CaTa2Ru
1.0
-4.011 -6.165 -2.469
4.329 -0.240 -6.433
2.029 -4.950 -3.127
Ru Ca Ta
2 2 4
Direct
0.750 0.250 0.500
0.000 0.000 0.000
0.250 0.750 0.500
0.500 0.500 0.000
0.059 0.625 0.250
0.691 0.125 0.250
0.375 0.309 0.750
0.875 0.941 0.750
```

## Properties
* formation energy: 590 meV/atom
* electronic total energy: -8.1555 eV per atom
* E above lowest polymorph: 1.856 eV/f.u.
* density of states at the Fermi level: 3.203 states/eV/f.u.
* SG: I-42d, No. 122

=====

VASP calculation (GGA-PBE) on a relaxed Ca2TaRu crystal.

Cell and atoms, written as POSCAR:
```
Ca2TaRu
1.0
10.640 0.000 0.000
0.000 10.640 0.000
5.320 5.320 2.359
Ru Ca Ta
2 4 2
Direct
0.500 0.500 0.000
0.250 0.750 0.500
0.471 0.125 0.250
0.875 0.721 0.750
0.279 0.625 0.250
0.375 0.529 0.750
0.750 0.250 0.500
0.000 0.000 0.000
```

## Properties
* formation energy: 774 meV/atom
* electronic total energy: -5.5091 eV per atom
* E above lowest polymorph: 2.774 eV/f.u.
* density of states at the Fermi level: 5.464 states/eV/f.u.
* SG: I-42d, No. 122

=====

VASP calculation (GGA-PBE) on a relaxed CaTa2Ru crystal.

Cell and atoms, written as POSCAR:
```
CaTa2Ru
1.0
2.644 -1.690 3.464
-1.936 -2.617 3.354
0.922 -4.577 0.217
Ca Ta Ru
1 2 1
Direct
0.000 0.000 0.000
0.750 0.750 0.750
0.250 0.250 0.250
0.500 0.500 0.500
```

## Properties
* formation energy: 521 meV/atom
* electronic total energy: -8.2245 eV per atom
* E above lowest polymorph: 1.580 eV/f.u.
* density of states at the Fermi level: 4.756 states/eV/f.u.
* SG: Fm-3m, No. 225

=====

VASP calculation (GGA-PBE) on a relaxed CaTa2Ru2 crystal.

Cell and atoms, written as POSCAR:
```
CaTa2Ru2
1.0
-4.238 -0.204 0.814
0.495 -3.992 1.576
-1.004 0.000 6.237
Ru Ta Ca
2 2 1
Direct
0.380 0.380 0.241
0.620 0.620 0.759
0.750 0.250 0.500
0.250 0.750 0.500
0.000 0.000 0.000
```

## Properties
* formation energy: -168 meV/atom
* electronic total energy: -9.0201 eV per atom
* E above lowest polymorph: 0.000 eV/f.u.
* density of states at the Fermi level: 1.983 states/eV/f.u.
* SG: I4/mmm, No. 139

=====

VASP calculation (GGA-PBE) on a relaxed CaTaRu crystal.

Cell and atoms, written as POSCAR:
```
CaTaRu
1.0
-1.638 3.652 -1.827
0.080 -1.940 -3.949
-6.771 -2.493 1.088
Ca Ru Ta
2 2 2
Direct
0.500 0.000 0.647
0.000 0.500 0.353
0.000 0.500 0.818
0.500 0.000 0.182
0.500 0.500 0.000
0.000 0.000 0.000
```

## Properties
* formation energy: -134 meV/atom
* electronic total energy: -7.8444 eV per atom
* E above lowest polymorph: 0.000 eV/f.u.
* density of states at the Fermi level: 3.549 states/eV/f.u.
* SG: P4/nmm, No. 129

=====

VASP calculation (GGA-PBE) on a relaxed Ca2TaRu crystal.

Cell and atoms, written as POSCAR:
```
Ca2TaRu
1.0
-1.918 -0.511 -2.300
-2.189 -3.642 2.634
-3.549 3.682 2.142
Ta Ca Ru
1 2 1
Direct
0.500 0.500 0.750
0.000 0.000 0.491
0.000 0.000 0.009
0.500 0.500 0.250
```

## Properties
* formation energy: 632 meV/atom
* electronic total energy: -5.6505 eV per atom
* E above lowest polymorph: 2.209 eV/f.u.
* density of states at the Fermi level: 4.565 states/eV/f.u.
* SG: Pmmm, No. 47

=====

The evaluated volume for the records listed, in turn: 20.65; 24.43; 25.59; 22.03; 21.60; 22.57; 20.36; 21.13; 18.61; 18.20; 19.66; 21.06; 20.69; 22.62; 21.68; 33.39; 18.05; 20.64; 23.55; 21.05 A^3/atom.